[1]
DFT (PBE) results for a geometry-optimized PmNd2Si6 structure.

abc: 7.1630 7.1630 4.1526
angles: 90.00 90.00 120.00
Last column: nearest neighbours and their distance in Å.
Space group P6/mmm (No. 191)
Inequivalent atoms, fractional coordinates:
Pm 0.0000 0.0000 0.0000 [1 per cell]  12 Si 3.16
Nd 0.3333 0.6667 0.0000 [2 per cell]  12 Si 3.17
Si 0.0000 0.3327 0.5000 [6 per cell]  3 Si 2.38-2.40

## Properties
* total magnetization: 0.000 μB per cell
* formation energy (no corrections): -0.5755 eV/atom

[2]
DFT (PBE) results for a geometry-optimized Pm3Nd2Si2 structure.

abc: 11.9818 4.2681 8.5244
angles: 90.00 111.03 90.00
Last column: nearest neighbours and their distance in Å.
Space group C2/m (No. 12)
Inequivalent atoms, fractional coordinates:
Pm 0.0000 0.0000 0.0000 [2 per cell]  4 Si 3.04
Pm 0.1312 0.0000 0.4421 [4 per cell]  3 Si 3.10, 2 Pm 3.41
Nd 0.1517 0.5000 0.8086 [4 per cell]  3 Si 3.04-3.30
Si 0.1709 0.5000 0.2042 [4 per cell]  5 Pm 3.04-3.10, 3 Nd 3.04-3.30

## Properties
* total magnetization: 0.000 μB per cell
* formation energy (no corrections): -0.4236 eV/atom

[3]
DFT (PBE) results for a geometry-optimized PmNd2Si structure.

abc: 7.9128 9.3923 6.4460
angles: 90.00 90.00 90.00
Last column: nearest neighbours and their distance in Å.
Space group Pnma (No. 62)
Inequivalent atoms, fractional coordinates:
Pm 0.0310 0.2500 0.1316 [4 per cell]  2 Si 3.04-3.05
Nd 0.1853 0.0551 0.6319 [8 per cell]  3 Si 3.07-3.18
Si 0.1208 0.7500 0.4332 [4 per cell]  2 Pm 3.04-3.05, 6 Nd 3.07-3.18

## Properties
* energy above the lowest structure with this stoichiometry: 0.0 kJ/mol of atoms
* total magnetization: 0.001 μB per cell
* formation energy (no corrections): -0.3606 eV/atom